This record from the Alexandria database describes a relaxed structure of NaSmSbAu. The functional is GGA-PBE.

a = 5.245 Å, b = 5.245 Å, c = 5.245 Å
α = 60.00°, β = 60.00°, γ = 60.00°
Fractional positions:
Sb 0.500 0.500 0.500
Au 0.000 0.000 0.000
Sm 0.750 0.750 0.750
Na 0.250 0.250 0.250

## Properties
* E_form (uncorrected): -0.68 eV/atom
* N(E_F): 0.80 states/eV per cell
* total magnetic moment: 0.00 μB/f.u.

This record from the Alexandria database describes a relaxed structure of AgBiPb2. The functional is GGA-PBE.

a = 6.824 Å, b = 6.824 Å, c = 8.311 Å
α = 65.76°, β = 65.76°, γ = 90.00°
Fractional positions:
Ag 0.250 0.750 0.500
Ag 0.500 0.500 0.000
Pb 0.375 0.407 0.750
Pb 0.875 0.843 0.750
Pb 0.157 0.625 0.250
Pb 0.593 0.125 0.250
Bi 0.000 0.000 0.000
Bi 0.750 0.250 0.500

## Properties
* energy of formation from the pure elements: 1.11 eV/f.u.
* N(E_F): 2.39 states/eV per cell
* total magnetic moment: 0.00 μB/f.u.

This record from the Alexandria database describes a relaxed structure of BaYPd3. The functional is GGA-PBE.

a = 5.327 Å, b = 5.327 Å, c = 5.327 Å
α = 90.00°, β = 90.00°, γ = 90.00°
Fractional positions:
Pd 0.500 0.000 0.000
Pd 0.000 0.500 0.000
Pd 0.000 0.000 0.500
Ba 0.000 0.000 0.000
Y 0.500 0.500 0.500

## Properties
* energy of formation from the pure elements: 3.25 eV/f.u.
* N(E_F): 7.38 states/eV per cell
* total magnetic moment: 0.00 μB/f.u.

This record from the Alexandria database describes a relaxed structure of CaIn2BiTe4. The functional is GGA-PBE.

a = 4.486 Å, b = 7.966 Å, c = 7.864 Å
α = 71.15°, β = 90.00°, γ = 90.00°
Fractional positions:
Te 0.000 0.255 0.248
Te 0.500 0.256 0.748
Te 0.000 0.745 0.752
Te 0.500 0.744 0.252
Bi 0.500 0.500 0.000
Ca 0.000 0.500 0.500
In 0.000 0.000 0.000
In 0.500 0.000 0.500

## Properties
* E_form (uncorrected): -0.57 eV/atom
* N(E_F): 3.48 states/eV per cell
* total magnetic moment: 0.00 μB/f.u.

This record from the Alexandria database describes a relaxed structure of SrCaPb. The functional is GGA-PBE.

a = 5.558 Å, b = 5.561 Å, c = 7.794 Å
α = 90.00°, β = 90.00°, γ = 119.98°
Fractional positions:
Sr 0.000 0.000 0.500
Sr 0.000 0.000 0.000
Ca 0.333 0.666 0.750
Ca 0.667 0.334 0.250
Pb 0.334 0.667 0.250
Pb 0.666 0.333 0.750

## Properties
* energy of formation from the pure elements: -1.62 eV/f.u.
* N(E_F): 0.48 states/eV per cell
* total magnetic moment: 0.00 μB/f.u.

This record from the Alexandria database describes a relaxed structure of RbPd2. The functional is GGA-PBE.

a = 3.612 Å, b = 3.612 Å, c = 6.446 Å
α = 106.27°, β = 106.27°, γ = 90.00°
Fractional positions:
Pd 0.278 0.278 0.556
Pd 0.722 0.722 0.444
Rb 0.000 0.000 0.000

## Properties
* energy of formation from the pure elements: 0.50 eV/f.u.
* N(E_F): 2.82 states/eV per cell
* total magnetic moment: 0.00 μB/f.u.

This record from the Alexandria database describes a relaxed structure of HoScTlIn. The functional is GGA-PBE.

a = 5.203 Å, b = 5.203 Å, c = 5.203 Å
α = 60.00°, β = 60.00°, γ = 60.00°
Fractional positions:
Tl 0.000 0.000 0.000
In 0.500 0.500 0.500
Ho 0.750 0.750 0.750
Sc 0.250 0.250 0.250

## Properties
* energy of formation from the pure elements: -1.41 eV/f.u.
* N(E_F): 2.19 states/eV per cell
* total magnetic moment: 0.00 μB/f.u.

This record from the Alexandria database describes a relaxed structure of Ti2Pd13. The functional is GGA-PBE.

a = 7.157 Å, b = 7.157 Å, c = 7.841 Å
α = 62.84°, β = 62.84°, γ = 60.00°
Fractional positions:
Pd 0.466 0.466 0.186
Pd 0.500 0.500 0.500
Pd 0.260 0.260 0.590
Pd 0.740 0.110 0.410
Pd 0.466 0.883 0.186
Pd 0.883 0.466 0.186
Pd 0.534 0.534 0.814
Pd 0.110 0.740 0.410
Pd 0.534 0.117 0.814
Pd 0.890 0.260 0.590
Pd 0.260 0.890 0.590
Pd 0.117 0.534 0.814
Pd 0.740 0.740 0.410
Ti 0.243 0.243 0.272
Ti 0.757 0.757 0.728

## Properties
* energy of formation from the pure elements: 2.01 eV/f.u.
* N(E_F): 13.45 states/eV per cell
* total magnetic moment: 0.00 μB/f.u.

This record from the Alexandria database describes a relaxed structure of TbPrPdPt. The functional is GGA-PBE.

a = 5.064 Å, b = 5.064 Å, c = 5.064 Å
α = 60.00°, β = 60.00°, γ = 60.00°
Fractional positions:
Pt 0.250 0.250 0.250
Tb 0.000 0.000 0.000
Pr 0.500 0.500 0.500
Pd 0.750 0.750 0.750

## Properties
* energy of formation from the pure elements: -3.77 eV/f.u.
* N(E_F): 3.68 states/eV per cell
* total magnetic moment: 0.00 μB/f.u.

This record from the Alexandria database describes a relaxed structure of ZrFeP. The functional is GGA-PBE.

a = 9.683 Å, b = 9.683 Å, c = 7.302 Å
α = 48.47°, β = 48.47°, γ = 90.00°
Last column: magnetic moment on the atom in μB.
Fractional positions:
P 0.000 0.709 0.000  0.02
P 0.291 0.000 0.000  0.02
P 0.000 0.291 0.000  0.02
P 0.709 0.000 0.000  0.02
Zr 0.500 0.180 0.000  -0.10
Zr 0.500 0.820 0.000  -0.10
Zr 0.820 0.500 0.000  -0.12
Zr 0.180 0.500 0.000  -0.12
Fe 0.215 0.785 0.000  2.29
Fe 0.215 0.215 0.000  2.35
Fe 0.785 0.215 0.000  2.29
Fe 0.785 0.785 0.000  2.35

## Properties
* energy of formation from the pure elements: -1.37 eV/f.u.
* N(E_F): 10.33 states/eV per cell
* total magnetic moment: 2.20 μB/f.u.

This record from the Alexandria database describes a relaxed structure of PaAg4. The functional is GGA-PBE.

a = 5.533 Å, b = 5.533 Å, c = 5.533 Å
α = 90.00°, β = 90.00°, γ = 90.00°
Last column: magnetic moment on the atom in μB.
Fractional positions:
Pa 0.500 0.500 0.500  1.28
Ag 0.500 0.500 0.000  0.01
Ag 0.000 0.500 0.500  0.01
Ag 0.500 0.000 0.500  0.01
Ag 0.000 0.000 0.000  0.01

## Properties
* energy of formation from the pure elements: 7.48 eV/f.u.
* N(E_F): 9.63 states/eV per cell
* total magnetic moment: 1.55 μB/f.u.